(1)
Density functional theory data (GGA-PBE) for a geometry-optimized GaHgHAu structure.

Structure (POSCAR):
```
GaHgHAu
1.0
-1.0994 0.6973 -2.9965
-3.0924 -0.1138 1.1081
1.5437 7.3058 1.1363
H Ga Hg Au
1 1 1 1
Direct
0.2209 0.0035 0.8935 H
0.2216 0.9085 0.6733 Ga
0.2201 0.1685 0.1776 Hg
0.7214 0.3439 0.5089 Au
```

Summary:
As for the theoretical density: 9.7 g cm⁻³. Its uncorrected energy is -9.77 eV for the cell shown. The calculation puts the volume at 20.0 A^3/atom. The symmetry is Pm.

(2)
Density functional theory data (GGA-PBE) for a geometry-optimized NdThNi3 structure.

Structure (POSCAR):
```
NdThNi3
1.0
4.0853 0.0000 0.0000
0.0000 3.8288 0.0000
0.0000 -1.9144 12.6694
Ni Nd Th
6 2 2
Direct
0.2500 0.3818 0.7636 Ni
0.7500 0.5241 0.0483 Ni
0.7500 0.6182 0.2364 Ni
0.7500 0.3187 0.6373 Ni
0.2500 0.4759 0.9517 Ni
0.2500 0.6813 0.3627 Ni
0.7500 0.9311 0.8623 Nd
0.2500 0.0689 0.1377 Nd
0.2500 0.8025 0.6051 Th
0.7500 0.1975 0.3949 Th
```

Summary:
As for the theoretical density: 9.3 g cm⁻³. The value obtained for the formation energy from the elements is -383 meV/atom. The calculation puts the volume at 19.8 A^3/atom. The symmetry is Cmcm.

(3)
Density functional theory data (GGA-PBE) for a geometry-optimized MgCuTcOs structure.

Structure (POSCAR):
```
MgCuTcOs
1.0
4.3298 0.0000 0.0000
2.1649 3.7497 0.0000
2.1649 1.2499 3.5353
Cu Mg Tc Os
1 1 1 1
Direct
0.0000 0.0000 0.0000 Cu
0.2500 0.2500 0.2500 Mg
0.7500 0.7500 0.7500 Tc
0.5000 0.5000 0.5000 Os
```

Summary:
As for the theoretical density: 10.9 g cm⁻³. The value obtained for the formation energy from the elements is 152 meV/atom. The calculation puts the volume at 14.3 A^3/atom. The symmetry is F-43m.

(4)
Density functional theory data (GGA-PBE) for a geometry-optimized CsHf3Te structure.

Structure (POSCAR):
```
CsHf3Te
1.0
5.4563 0.0000 0.0000
0.0000 5.4563 0.0000
0.0000 0.0000 5.4563
Hf Cs Te
3 1 1
Direct
0.0000 0.5000 0.0000 Hf
0.0000 0.0000 0.5000 Hf
0.5000 0.0000 0.0000 Hf
0.5000 0.5000 0.5000 Cs
0.0000 0.0000 0.0000 Te
```

Summary:
As for the theoretical density: 8.1 g cm⁻³. Its uncorrected energy is -28.20 eV for the cell shown. The calculation puts the volume at 32.5 A^3/atom. The symmetry is Pm-3m.

Repeat the fourth record exactly.
Density functional theory data (GGA-PBE) for a geometry-optimized CsHf3Te structure.

Structure (POSCAR):
```
CsHf3Te
1.0
5.4563 0.0000 0.0000
0.0000 5.4563 0.0000
0.0000 0.0000 5.4563
Hf Cs Te
3 1 1
Direct
0.0000 0.5000 0.0000 Hf
0.0000 0.0000 0.5000 Hf
0.5000 0.0000 0.0000 Hf
0.5000 0.5000 0.5000 Cs
0.0000 0.0000 0.0000 Te
```

Summary:
As for the theoretical density: 8.1 g cm⁻³. Its uncorrected energy is -28.20 eV for the cell shown. The calculation puts the volume at 32.5 A^3/atom. The symmetry is Pm-3m.

- Which value of theoretical density does entry 3 give?
  10.9 g cm⁻³